[1]
Crystalline KInICl at its relaxed geometry. Source: Alexandria via LeMat-Bulk, functional PBE.

Values from the calculation:
The value obtained for the energy relative to the lowest polymorph listed for this composition is 0.0 kJ per mole of atoms. The value obtained for the density of states at the Fermi level is 0.000 states/eV/atom. The formation energy from raw total energies is -1123 meV/atom. The total energy comes out at -2.9310 eV/atom.

Structure (CIF):
```
data_KInICl
_cell_length_a 4.8440
_cell_length_b 4.8369
_cell_length_c 6.7746
_cell_angle_alpha 90.00
_cell_angle_beta 90.22
_cell_angle_gamma 90.00
_symmetry_space_group_name_H-M 'P 1 m 1'
_symmetry_Int_Tables_number 6
loop_
_symmetry_equiv_pos_as_xyz
'x,y,z'
'x,-y,z'
loop_
_atom_site_label
_atom_site_fract_x
_atom_site_fract_y
_atom_site_fract_z
K1 0.0000 0.0000 0.0000
In1 0.4980 0.5000 0.4992
I1 0.5000 0.5000 0.9985
Cl1 0.9998 0.0000 0.4991
```

[2]
Crystalline Ca2HgSb at its relaxed geometry. Source: Alexandria via LeMat-Bulk, functional PBE.

Values from the calculation:
The value obtained for the energy relative to the lowest polymorph listed for this composition is 9.9 kJ per mole of atoms. The value obtained for the density of states at the Fermi level is 0.450 states/eV/atom. The formation energy from raw total energies is -683 meV/atom. The total energy comes out at -2.7894 eV/atom.

Structure (CIF):
```
data_Ca2HgSb
_cell_length_a 4.6537
_cell_length_b 4.6537
_cell_length_c 21.7898
_cell_angle_alpha 90.00
_cell_angle_beta 90.00
_cell_angle_gamma 120.00
_symmetry_space_group_name_H-M 'R 3 m'
_symmetry_Int_Tables_number 160
_symmetry_space_group_name_Hall 'R 3 -2"'
loop_
_atom_site_label
_atom_site_fract_x
_atom_site_fract_y
_atom_site_fract_z
Ca1 0.0000 0.0000 0.0000
Ca2 0.0000 0.0000 0.1903
Hg1 0.0000 0.0000 0.4306
Sb1 0.0000 0.0000 0.5930
```

The lowest formation energy from raw total energies belongs to which entry? KInICl

Which of these has the highest energy relative to the lowest polymorph listed for this composition? Ca2HgSb

What did the first record say?
Crystalline KInICl at its relaxed geometry. Source: Alexandria via LeMat-Bulk, functional PBE.

Values from the calculation:
The value obtained for the energy relative to the lowest polymorph listed for this composition is 0.0 kJ per mole of atoms. The value obtained for the density of states at the Fermi level is 0.000 states/eV/atom. The formation energy from raw total energies is -1123 meV/atom. The total energy comes out at -2.9310 eV/atom.

Structure (CIF):
```
data_KInICl
_cell_length_a 4.8440
_cell_length_b 4.8369
_cell_length_c 6.7746
_cell_angle_alpha 90.00
_cell_angle_beta 90.22
_cell_angle_gamma 90.00
_symmetry_space_group_name_H-M 'P 1 m 1'
_symmetry_Int_Tables_number 6
loop_
_symmetry_equiv_pos_as_xyz
'x,y,z'
'x,-y,z'
loop_
_atom_site_label
_atom_site_fract_x
_atom_site_fract_y
_atom_site_fract_z
K1 0.0000 0.0000 0.0000
In1 0.4980 0.5000 0.4992
I1 0.5000 0.5000 0.9985
Cl1 0.9998 0.0000 0.4991
```